VASP calculation (PBE-GGA) on Y2IrPd after structural relaxation.

Results
ΔE to the lowest computed polymorph	18	meV per atom
formation energy from the elements	-0.864	eV/atom

Lattice parameters (Å, degrees): 4.9026 4.9026 3.4725 90.00 90.00 90.00
Space group P4/mmm (No. 123)
Asymmetric unit:
Y 0.0000 0.5000 0.0000 [2 per cell]
Ir 0.0000 0.0000 0.5000 [1 per cell]
Pd 0.5000 0.5000 0.5000 [1 per cell]